Entry 1:
Density functional theory data (PBE) for an optimized crystal structure of Cs2TbAsS4.

a = 6.711 Å, b = 8.114 Å, c = 13.214 Å
α = 83.97°, β = 75.29°, γ = 65.57°
Atoms (fractional coordinates):
Cs 0.180 0.000 0.639
S 0.216 0.190 0.900
Cs 0.570 0.500 0.861
S 0.866 0.690 0.600
Cs 0.820 0.000 0.361
Tb 0.750 0.500 0.500
S 0.156 0.310 0.400
S 0.594 0.190 0.100
Tb 0.000 0.000 0.000
S 0.884 0.810 0.900
S 0.534 0.310 0.600
As 0.250 0.500 0.500
S 0.306 0.810 0.100
Cs 0.930 0.500 0.139
As 0.500 0.000 0.000
S 0.444 0.690 0.400

Space group: No. 70
Uncorrected energy in eV/atom: -4.4844
ΔE_f (raw) in eV per atom: -1.047

***

Entry 2:
Density functional theory data (PBE) for an optimized crystal structure of CsTe2As2S6.

a = 7.031 Å, b = 10.750 Å, c = 6.858 Å
α = 125.88°, β = 81.44°, γ = 76.95°
Atoms (fractional coordinates):
S 0.514 0.604 0.878
S 0.486 0.396 0.122
S 0.996 0.163 0.460
S 0.971 0.719 0.919
Te 0.779 0.428 0.971
Te 0.221 0.572 0.029
S 0.004 0.837 0.540
As 0.136 0.845 0.820
S 0.029 0.281 0.081
As 0.864 0.155 0.180
Cs 0.500 0.000 0.500

Space group: No. 2
Uncorrected energy in eV/atom: -3.8913
ΔE_f (raw) in eV per atom: -0.146

***

Entry 3:
Density functional theory data (PBE) for an optimized crystal structure of Cs2TeAsS4.

a = 8.808 Å, b = 10.221 Å, c = 8.554 Å
α = 124.91°, β = 114.16°, γ = 82.95°
Atoms (fractional coordinates):
Cs 0.956 0.074 0.659
Cs 0.553 0.982 0.961
S 0.161 0.668 0.442
S 0.831 0.305 0.076
Cs 0.367 0.981 0.426
S 0.205 0.755 0.883
S 0.619 0.244 0.468
Te 0.988 0.473 0.436
S 0.333 0.315 0.079
As 0.974 0.867 0.918
Cs 0.550 0.541 0.997
S 0.234 0.319 0.464
As 0.446 0.409 0.424
S 0.911 0.772 0.088
Te 0.102 0.558 0.090
S 0.771 0.736 0.589

Space group: No. 1
Uncorrected energy in eV/atom: -3.8055
ΔE_f (raw) in eV per atom: -0.555